# 1
A geometry-optimized Tb5PuIr4 structure, computed with PBE.

Lattice parameters (Å, degrees): 18.216 4.212 7.378 90.00 113.81 90.00
Space group C2/m (No. 12)
Unique sites:
Tb (0.000, 0.000, 0.000) [2 per cell]
Tb (0.166, 0.500, 0.422) [4 per cell]
Tb (0.166, 0.500, 0.911) [4 per cell]
Pu (0.000, 0.000, 0.500) [2 per cell]
Ir (0.000, 0.500, 0.261) [4 per cell]
Ir (0.197, 0.000, 0.697) [4 per cell]

Calculated values
Energy of formation from the pure elements   -0.60 eV/atom
Crystal system   monoclinic
Volume   517.9 Å³ per cell
Raw total energy   -7.891 eV per atom

# 2
A geometry-optimized TbPu2Ir2 structure, computed with PBE.

Lattice parameters (Å, degrees): 3.971 12.747 9.637 90.00 90.00 90.00
Space group Cmc2_1 (No. 36)
Unique sites:
Tb (0.000, 0.142, 0.000) [4 per cell]
Pu (0.000, 0.153, 0.371) [4 per cell]
Pu (0.000, 0.406, 0.183) [4 per cell]
Ir (0.000, 0.248, 0.702) [4 per cell]
Ir (0.000, 0.491, 0.928) [4 per cell]

Calculated values
Energy of formation from the pure elements   -0.42 eV/atom
Crystal system   orthorhombic
Volume   487.9 Å³ per cell
Raw total energy   -10.621 eV per atom

# 3
A geometry-optimized TbPu3Ir3 structure, computed with PBE.

Lattice parameters (Å, degrees): 8.844 10.402 6.995 90.00 91.18 90.00
Space group C2/m (No. 12)
Unique sites:
Tb (0.235, 0.000, 0.108) [4 per cell]
Pu (0.000, 0.263, 0.000) [4 per cell]
Pu (0.000, 0.314, 0.500) [4 per cell]
Pu (0.162, 0.000, 0.597) [4 per cell]
Ir (0.061, 0.500, 0.209) [4 per cell]
Ir (0.245, 0.238, 0.750) [8 per cell]

Calculated values
Energy of formation from the pure elements   -0.40 eV/atom
Crystal system   monoclinic
Volume   643.4 Å³ per cell
Raw total energy   -11.004 eV per atom

# 4
A geometry-optimized TbPu4Ir4 structure, computed with PBE.

Lattice parameters (Å, degrees): 8.939 8.939 5.551 90.00 90.00 90.00
Space group I4/m (No. 87)
Unique sites:
Tb (0.000, 0.000, 0.000) [2 per cell]
Pu (0.102, 0.691, 0.500) [8 per cell]
Ir (0.112, 0.698, 0.000) [8 per cell]

Calculated values
Energy of formation from the pure elements   -0.38 eV/atom
Crystal system   tetragonal
Volume   443.6 Å³ per cell
Raw total energy   -11.203 eV per atom

# 5
A geometry-optimized Pu2Tc3Ir structure, computed with PBE.

Lattice parameters (Å, degrees): 9.312 5.028 5.564 90.00 122.97 90.00
Space group C2/m (No. 12)
Unique sites:
Pu (0.127, 0.000, 0.375) [4 per cell]
Tc (0.000, 0.500, 0.000) [2 per cell]
Tc (0.250, 0.250, 0.000) [4 per cell]
Ir (0.000, 0.500, 0.500) [2 per cell]

Calculated values
Energy of formation from the pure elements   -0.14 eV/atom
Crystal system   monoclinic
Volume   218.5 Å³ per cell
Raw total energy   -11.575 eV per atom

# 6
A geometry-optimized PuTc2Ir structure, computed with PBE.

Lattice parameters (Å, degrees): 4.088 4.088 3.910 90.00 90.00 90.00
Space group P4/mmm (No. 123)
Unique sites:
Pu (0.000, 0.000, 0.000) [1 per cell]
Tc (0.000, 0.500, 0.500) [2 per cell]
Ir (0.500, 0.500, 0.000) [1 per cell]

Calculated values
Energy of formation from the pure elements   0.00 eV/atom
Crystal system   tetragonal
Volume   65.4 Å³ per cell
Raw total energy   -10.985 eV per atom